The following is a DFT calculation (PBE-GGA) of a relaxed AcBi2Pd4 crystal.

a = 19.8132 Å, b = 4.9492 Å, c = 6.4243 Å
α = 90.00°, β = 90.00°, γ = 90.00°
With the nearest neighbours (Å) after each atom.
Sites, in units of the cell vectors:
Ac  0.1288  0.2500  0.0759  9 Pd 3.08-3.41
Ac  0.3712  0.7500  0.5759  9 Pd 3.08-3.41
Ac  0.6288  0.2500  0.4241  9 Pd 3.08-3.41
Ac  0.8712  0.7500  0.9241  9 Pd 3.08-3.41
Bi  0.0317  0.7500  0.6677  8 Pd 2.87-3.07
Bi  0.2398  0.2500  0.6157  5 Pd 2.77-2.86
Bi  0.2602  0.7500  0.1157  5 Pd 2.77-2.86
Bi  0.4683  0.2500  0.1677  8 Pd 2.87-3.07
Bi  0.5317  0.7500  0.8323  8 Pd 2.87-3.07
Bi  0.7398  0.2500  0.8843  5 Pd 2.77-2.86
Bi  0.7602  0.7500  0.3843  5 Pd 2.77-2.86
Bi  0.9683  0.2500  0.3323  8 Pd 2.87-3.07
Pd  0.0163  0.7500  0.1162  4 Pd 2.89-3.01, 3 Bi 2.90-2.99, 1 Ac 3.13
Pd  0.0995  0.2500  0.5800  4 Bi 2.79-3.05, 3 Pd 2.96-3.01
Pd  0.1391  0.7500  0.3583  4 Pd 2.69-2.96, 2 Bi 2.86-2.91
Pd  0.1844  0.7500  0.7527  1 Pd 2.69, 3 Bi 2.77-2.85
Pd  0.3156  0.2500  0.2527  1 Pd 2.69, 3 Bi 2.77-2.85
Pd  0.3609  0.2500  0.8583  4 Pd 2.69-2.96, 2 Bi 2.86-2.91
Pd  0.4005  0.7500  0.0800  4 Bi 2.79-3.05, 3 Pd 2.96-3.01
Pd  0.4837  0.2500  0.6162  4 Pd 2.89-3.01, 3 Bi 2.90-2.99, 1 Ac 3.13
Pd  0.5163  0.7500  0.3838  4 Pd 2.89-3.01, 3 Bi 2.90-2.99, 1 Ac 3.13
Pd  0.5995  0.2500  0.9200  4 Bi 2.79-3.05, 3 Pd 2.96-3.01
Pd  0.6391  0.7500  0.1417  4 Pd 2.69-2.96, 2 Bi 2.86-2.91
Pd  0.6844  0.7500  0.7473  1 Pd 2.69, 3 Bi 2.77-2.85
Pd  0.8156  0.2500  0.2473  1 Pd 2.69, 3 Bi 2.77-2.85
Pd  0.8609  0.2500  0.6417  4 Pd 2.69-2.96, 2 Bi 2.86-2.91
Pd  0.9005  0.7500  0.4200  4 Bi 2.79-3.05, 3 Pd 2.96-3.01
Pd  0.9837  0.2500  0.8838  4 Pd 2.89-3.01, 3 Bi 2.90-2.99, 1 Ac 3.13

Values from the calculation:
- VASP energy (Ry/atom) = -0.3819
- formation energy from the elements (eV per formula unit) = -3.73
- energy above the most stable polymorph in this dataset (meV per atom) = 0